The following is a PBE-GGA calculation of crystalline CsNa2ZnBr at its relaxed geometry, from the Alexandria database.

a = 5.7530 Å, b = 5.7530 Å, c = 7.1709 Å
α = 90.00°, β = 90.00°, γ = 90.00°
Positions (direct):
Cs1 0.0000 0.0000 0.0000
Na1 0.0000 0.5000 0.5000
Na2 0.5000 0.0000 0.5000
Zn1 0.5000 0.5000 0.0000
Br1 0.0000 0.0000 0.5000

## Properties
- VASP energy (eV/atom) = -1.662
- Fermi-level density of states (states/eV/cell) = 2.670

=====

The following is a PBE-GGA calculation of crystalline FeCo2Tc at its relaxed geometry, from the Alexandria database.

a = 8.4198 Å, b = 8.4198 Å, c = 8.4198 Å
α = 17.70°, β = 17.70°, γ = 17.70°
Positions (direct):
Fe1 0.0000 0.0000 0.0000
Co1 0.2528 0.2528 0.2528
Co2 0.5066 0.5066 0.5066
Tc1 0.7531 0.7531 0.7531

## Properties
- offset from the most stable computed form (eV per atom) = 0.096
- ΔE_f (eV/f.u.) = 0.6
- Fermi-level density of states (states/eV/cell) = 4.762

=====

The following is a PBE-GGA calculation of crystalline BMoSe2 at its relaxed geometry, from the Alexandria database.

a = 6.0769 Å, b = 6.0769 Å, c = 6.0769 Å
α = 125.95°, β = 125.95°, γ = 79.96°
Positions (direct):
B1 0.0000 0.0000 0.0000
B2 0.7500 0.2500 0.5000
Mo1 0.2500 0.7500 0.5000
Mo2 0.5000 0.5000 0.0000
Se1 0.0637 0.6250 0.9387
Se2 0.3750 0.3137 0.4387
Se3 0.6863 0.1250 0.0613
Se4 0.8750 0.9363 0.5613

## Properties
- VASP energy (eV/atom) = -5.650
- Fermi-level density of states (states/eV/cell) = 2.013

=====

The following is a PBE-GGA calculation of crystalline BeInRh at its relaxed geometry, from the Alexandria database.

a = 3.0140 Å, b = 3.0140 Å, c = 5.9428 Å
α = 90.00°, β = 90.00°, γ = 120.00°
Positions (direct):
Be1 0.0000 0.0000 0.0000
In1 0.3333 0.6667 0.3710
Rh1 0.6667 0.3333 0.7511

## Properties
- offset from the most stable computed form (eV per atom) = 0.355
- ΔE_f (eV/f.u.) = 0.2
- Fermi-level density of states (states/eV/cell) = 1.918

=====

The following is a PBE-GGA calculation of crystalline InSiHg2W at its relaxed geometry, from the Alexandria database.

a = 5.3919 Å, b = 5.3919 Å, c = 4.7782 Å
α = 90.00°, β = 90.00°, γ = 90.00°
Positions (direct):
In1 0.0000 0.0000 0.0000
Si1 0.5000 0.5000 0.0000
Hg1 0.0000 0.5000 0.5000
Hg2 0.5000 0.0000 0.5000
W1 0.5000 0.5000 0.5000

## Properties
- VASP energy (eV/atom) = -3.625
- Fermi-level density of states (states/eV/cell) = 3.873

=====

The following is a PBE-GGA calculation of crystalline K4U3PaS8 at its relaxed geometry, from the Alexandria database.

a = 8.8151 Å, b = 8.8151 Å, c = 8.8151 Å
α = 54.19°, β = 54.19°, γ = 54.19°
Positions (direct):
K1 0.0000 0.0000 0.0000
K2 0.0000 0.5000 0.5000
K3 0.5000 0.0000 0.5000
K4 0.5000 0.5000 0.0000
U1 0.0000 0.0000 0.5000
U2 0.0000 0.5000 0.0000
U3 0.5000 0.0000 0.0000
Pa1 0.5000 0.5000 0.5000
S1 0.2349 0.2349 0.2349
S2 0.2376 0.7346 0.7346
S3 0.2654 0.2654 0.7624
S4 0.2654 0.7624 0.2654
S5 0.7346 0.2376 0.7346
S6 0.7346 0.7346 0.2376
S7 0.7624 0.2654 0.2654
S8 0.7651 0.7651 0.7651

## Properties
- VASP energy (eV/atom) = -6.466
- Fermi-level density of states (states/eV/cell) = 12.102